[1]
Computed, not measured: a relaxed structure of PuIn2Pd at the PBE level of DFT.

CIF file:
```
data_PuIn2Pd
_chemical_formula_sum 'Pu1 In2 Pd1'
_space_group_name_H-M_alt 'P 1'
_space_group_IT_number 1
_cell_length_a 3.314
_cell_length_b 3.314
_cell_length_c 7.976
_cell_angle_alpha 90.00
_cell_angle_beta 90.00
_cell_angle_gamma 90.00
loop_
_space_group_symop_operation_xyz
'x,y,z'
loop_
_atom_site_label
_atom_site_type_symbol
_atom_site_fract_x
_atom_site_fract_y
_atom_site_fract_z
Pu1 Pu 0.000 0.000 0.000
In1 In 0.500 0.500 0.295
In2 In 0.500 0.500 0.705
Pd1 Pd 0.000 0.000 0.500
```

Computed properties:
As for the energy of formation from the pure elements: -373 meV/atom. The value obtained for the magnetization is 5.808 μB/f.u. For the volume, the calculation gives 21.90 A^3/atom. As for the theoretical density: 11.0 Mg/m³. As for the space group: P4/mmm, No. 123.

[2]
Computed, not measured: a relaxed structure of PuIn2Pd9 at the PBE level of DFT.

CIF file:
```
data_PuIn2Pd9
_chemical_formula_sum 'Pu1 In2 Pd9'
_space_group_name_H-M_alt 'P 1'
_space_group_IT_number 1
_cell_length_a 4.082
_cell_length_b 4.082
_cell_length_c 12.190
_cell_angle_alpha 90.00
_cell_angle_beta 90.00
_cell_angle_gamma 90.00
loop_
_space_group_symop_operation_xyz
'x,y,z'
loop_
_atom_site_label
_atom_site_type_symbol
_atom_site_fract_x
_atom_site_fract_y
_atom_site_fract_z
Pu1 Pu 0.000 0.000 0.000
In1 In 0.000 0.000 0.339
In2 In 0.000 0.000 0.661
Pd1 Pd 0.000 0.500 0.170
Pd2 Pd 0.000 0.500 0.500
Pd3 Pd 0.000 0.500 0.830
Pd4 Pd 0.500 0.000 0.170
Pd5 Pd 0.500 0.000 0.500
Pd6 Pd 0.500 0.000 0.830
Pd7 Pd 0.500 0.500 0.000
Pd8 Pd 0.500 0.500 0.334
Pd9 Pd 0.500 0.500 0.666
```

Computed properties:
As for the energy of formation from the pure elements: -479 meV/atom. The value obtained for the magnetization is 4.247 μB/f.u. For the volume, the calculation gives 16.92 A^3/atom. As for the theoretical density: 11.7 Mg/m³. As for the space group: P4/mmm, No. 123.

[3]
Computed, not measured: a relaxed structure of Pu3InPd2 at the PBE level of DFT.

CIF file:
```
data_Pu3InPd2
_chemical_formula_sum 'Pu3 In1 Pd2'
_space_group_name_H-M_alt 'P 1'
_space_group_IT_number 1
_cell_length_a 3.230
_cell_length_b 3.230
_cell_length_c 13.000
_cell_angle_alpha 90.00
_cell_angle_beta 90.00
_cell_angle_gamma 90.00
loop_
_space_group_symop_operation_xyz
'x,y,z'
loop_
_atom_site_label
_atom_site_type_symbol
_atom_site_fract_x
_atom_site_fract_y
_atom_site_fract_z
Pu1 Pu 0.000 0.000 0.000
Pu2 Pu 0.000 0.000 0.311
Pu3 Pu 0.000 0.000 0.689
In1 In 0.500 0.500 0.500
Pd1 Pd 0.500 0.500 0.155
Pd2 Pd 0.500 0.500 0.845
```

Computed properties:
As for the energy of formation from the pure elements: -308 meV/atom. The value obtained for the magnetization is 5.565 μB/f.u. For the volume, the calculation gives 22.61 A^3/atom. As for the theoretical density: 13.0 Mg/m³. As for the space group: P4/mmm, No. 123.

[4]
Computed, not measured: a relaxed structure of PuIn4Pd2 at the PBE level of DFT.

CIF file:
```
data_PuIn4Pd2
_chemical_formula_sum 'Pu4 In16 Pd8'
_space_group_name_H-M_alt 'P 1'
_space_group_IT_number 1
_cell_length_a 18.540
_cell_length_b 4.574
_cell_length_c 7.289
_cell_angle_alpha 90.00
_cell_angle_beta 90.00
_cell_angle_gamma 90.00
loop_
_space_group_symop_operation_xyz
'x,y,z'
loop_
_atom_site_label
_atom_site_type_symbol
_atom_site_fract_x
_atom_site_fract_y
_atom_site_fract_z
Pu1 Pu 0.140 0.250 0.034
Pu2 Pu 0.360 0.750 0.534
Pu3 Pu 0.640 0.250 0.466
Pu4 Pu 0.860 0.750 0.966
In1 In 0.035 0.750 0.853
In2 In 0.070 0.250 0.496
In3 In 0.186 0.750 0.333
In4 In 0.192 0.750 0.745
In5 In 0.308 0.250 0.245
In6 In 0.314 0.250 0.833
In7 In 0.430 0.750 0.996
In8 In 0.465 0.250 0.353
In9 In 0.535 0.750 0.647
In10 In 0.570 0.250 0.004
In11 In 0.686 0.750 0.167
In12 In 0.692 0.750 0.755
In13 In 0.808 0.250 0.255
In14 In 0.814 0.250 0.667
In15 In 0.930 0.750 0.504
In16 In 0.965 0.250 0.147
Pd1 Pd 0.040 0.750 0.247
Pd2 Pd 0.218 0.250 0.543
Pd3 Pd 0.282 0.750 0.043
Pd4 Pd 0.460 0.250 0.747
Pd5 Pd 0.540 0.750 0.253
Pd6 Pd 0.718 0.250 0.957
Pd7 Pd 0.782 0.750 0.457
Pd8 Pd 0.960 0.250 0.753
```

Computed properties:
As for the energy of formation from the pure elements: -405 meV/atom. The value obtained for the magnetization is 5.543 μB/f.u. For the volume, the calculation gives 22.07 A^3/atom. As for the theoretical density: 9.8 Mg/m³. As for the space group: Pnma, No. 62.

[5]
Computed, not measured: a relaxed structure of Pu2InPd6 at the PBE level of DFT.

CIF file:
```
data_Pu2InPd6
_chemical_formula_sum 'Pu2 In1 Pd6'
_space_group_name_H-M_alt 'P 1'
_space_group_IT_number 1
_cell_length_a 5.770
_cell_length_b 5.770
_cell_length_c 6.080
_cell_angle_alpha 90.00
_cell_angle_beta 90.00
_cell_angle_gamma 120.00
loop_
_space_group_symop_operation_xyz
'x,y,z'
loop_
_atom_site_label
_atom_site_type_symbol
_atom_site_fract_x
_atom_site_fract_y
_atom_site_fract_z
Pu1 Pu 0.333 0.667 0.184
Pu2 Pu 0.667 0.333 0.816
In1 In 0.000 0.000 0.000
Pd1 Pd 0.176 0.352 0.677
Pd2 Pd 0.176 0.824 0.677
Pd3 Pd 0.352 0.176 0.323
Pd4 Pd 0.648 0.824 0.677
Pd5 Pd 0.824 0.176 0.323
Pd6 Pd 0.824 0.648 0.323
```

Computed properties:
As for the energy of formation from the pure elements: -461 meV/atom. The value obtained for the magnetization is 10.535 μB/f.u. For the volume, the calculation gives 19.48 A^3/atom. As for the theoretical density: 11.8 Mg/m³. As for the space group: P-3m1, No. 164.

[6]
Computed, not measured: a relaxed structure of Pu2In3Pd3 at the PBE level of DFT.

CIF file:
```
data_Pu2In3Pd3
_chemical_formula_sum 'Pu2 In3 Pd3'
_space_group_name_H-M_alt 'P 1'
_space_group_IT_number 1
_cell_length_a 8.248
_cell_length_b 8.248
_cell_length_c 2.978
_cell_angle_alpha 90.00
_cell_angle_beta 90.00
_cell_angle_gamma 120.00
loop_
_space_group_symop_operation_xyz
'x,y,z'
loop_
_atom_site_label
_atom_site_type_symbol
_atom_site_fract_x
_atom_site_fract_y
_atom_site_fract_z
Pu1 Pu 0.333 0.667 0.000
Pu2 Pu 0.667 0.333 0.000
In1 In 0.000 0.239 0.000
In2 In 0.239 0.000 0.000
In3 In 0.761 0.761 0.000
Pd1 Pd 0.000 0.673 0.500
Pd2 Pd 0.327 0.327 0.500
Pd3 Pd 0.673 0.000 0.500
```

Computed properties:
As for the energy of formation from the pure elements: -278 meV/atom. The value obtained for the magnetization is 12.164 μB/f.u. For the volume, the calculation gives 21.93 A^3/atom. As for the theoretical density: 10.9 Mg/m³. As for the space group: P-62m, No. 189.

- Which of these has the highest magnetization?
  Pu2In3Pd3

- Which of these has the lowest magnetization?
  PuIn2Pd9

- What is the energy of formation from the pure elements in the sixth record?
  -278 meV/atom